Record 1
Density functional theory data (GGA-PBE) for a geometry-optimized BaIn4Ag9 structure.

It has space group I4/mcm (No. 140), with a = 9.5237 Å, b = 9.5237 Å, c = 13.6965 Å, α = 90.00°, β = 90.00° and γ = 90.00°. The inequivalent atoms are Ba at (0.0000, 0.0000, 0.2500), In at (0.1821, 0.3179, 0.1208), Ag at (0.0000, 0.5000, 0.0000), Ag at (0.0598, 0.2024, 0.5000) and Ag at (0.1162, 0.3838, 0.3202).

The calculation puts the raw total energy at -2.89 eV/atom. The calculation puts the total magnetization at 0.0 μB/f.u. The value obtained for the density of states at the Fermi level is 28.29 states/eV per cell.



Record 2
Density functional theory data (GGA-PBE) for a geometry-optimized ScNi3H structure.

It has space group P2_1/c (No. 14), with a = 5.3208 Å, b = 4.5468 Å, c = 9.4801 Å, α = 90.00°, β = 108.27° and γ = 90.00°. The inequivalent atoms are Sc at (0.2021, 0.0951, 0.1555), Ni at (0.0666, 0.0992, 0.3891), Ni at (0.3127, 0.5880, 0.3607), Ni at (0.4110, 0.5998, 0.1003) and H at (0.3753, 0.2360, 0.9784).

The calculation puts the raw total energy at -5.70 eV/atom. The calculation puts the total magnetization at 0.0 μB/f.u. The value obtained for the density of states at the Fermi level is 9.43 states/eV per cell.



Record 3
Density functional theory data (GGA-PBE) for a geometry-optimized InRe2Os structure.

It has space group Cmmm (No. 65), with a = 2.9035 Å, b = 4.7842 Å, c = 9.3978 Å, α = 90.00°, β = 90.00° and γ = 90.00°. The inequivalent atoms are In at (0.0000, 0.0000, 0.0000), Re at (0.0000, 0.5000, 0.2645) and Os at (0.0000, 0.0000, 0.5000).

The calculation puts the raw total energy at -9.05 eV/atom. The calculation puts the total magnetization at 0.0 μB/f.u. The value obtained for the density of states at the Fermi level is 7.81 states/eV per cell.



Question: density of states at the Fermi level of number 1 (BaIn4Ag9)?
Answer: 28.29 states/eV per cell